Here is a relaxed V2IrPbO8 crystal from Alexandria via LeMat-Bulk. Energies are from PBE+U.

POSCAR file:
```
V2IrPbO8
1.0
5.5887 0.0000 0.0000
-2.7944 4.8400 0.0000
0.0000 0.0000 6.8769
O V Pb Ir
8 2 1 1
Direct
0.3172 0.1713 0.3202
0.1713 0.8541 0.6798
0.6828 0.8287 0.6798
0.8541 0.6828 0.3202
0.3333 0.6667 0.9986
0.8287 0.1459 0.3202
0.1459 0.3172 0.6798
0.6667 0.3333 0.0014
0.6667 0.3333 0.2445
0.3333 0.6667 0.7555
0.0000 0.0000 0.0000
0.0000 0.0000 0.5000
```

Output
DOS at the Fermi energy: 0.4886 states/eV/atom
density: 5.62 Mg/m³
calculated total energy: -7.013 eV per atom